Record 1
Computed, not measured: a relaxed structure of LaPuNiRh at the PBE level of DFT.

VASP energy   -134.45 eV/cell

The structure in CIF format:
```
data_LaPuNiRh
_cell_length_a 6.980
_cell_length_b 6.980
_cell_length_c 6.980
_cell_angle_alpha 90.00
_cell_angle_beta 90.00
_cell_angle_gamma 90.00
_symmetry_space_group_name_H-M 'P 1'
_symmetry_Int_Tables_number 1
loop_
_symmetry_equiv_pos_as_xyz
'x,y,z'
loop_
_atom_site_label
_atom_site_type_symbol
_atom_site_fract_x
_atom_site_fract_y
_atom_site_fract_z
_atom_site_occupancy
La1 La 0.000 0.000 0.000 1
La2 La 0.000 0.500 0.500 1
La3 La 0.500 0.000 0.500 1
La4 La 0.500 0.500 0.000 1
Pu1 Pu 0.000 0.000 0.500 1
Pu2 Pu 0.000 0.500 0.000 1
Pu3 Pu 0.500 0.000 0.000 1
Pu4 Pu 0.500 0.500 0.500 1
Ni1 Ni 0.250 0.250 0.250 1
Ni2 Ni 0.250 0.750 0.750 1
Ni3 Ni 0.750 0.250 0.750 1
Ni4 Ni 0.750 0.750 0.250 1
Rh1 Rh 0.250 0.250 0.750 1
Rh2 Rh 0.250 0.750 0.250 1
Rh3 Rh 0.750 0.250 0.250 1
Rh4 Rh 0.750 0.750 0.750 1
```

Record 2
Computed, not measured: a relaxed structure of PmErHg at the PBE level of DFT.

VASP energy   -39.75 eV/cell

The structure in CIF format:
```
data_PmErHg
_cell_length_a 3.572
_cell_length_b 19.151
_cell_length_c 5.211
_cell_angle_alpha 90.00
_cell_angle_beta 90.00
_cell_angle_gamma 90.00
_symmetry_space_group_name_H-M 'P 1'
_symmetry_Int_Tables_number 1
loop_
_symmetry_equiv_pos_as_xyz
'x,y,z'
loop_
_atom_site_label
_atom_site_type_symbol
_atom_site_fract_x
_atom_site_fract_y
_atom_site_fract_z
_atom_site_occupancy
Pm1 Pm 0.000 0.130 0.250 1
Pm2 Pm 0.000 0.870 0.750 1
Pm3 Pm 0.500 0.370 0.750 1
Pm4 Pm 0.500 0.630 0.250 1
Er1 Er 0.000 0.457 0.250 1
Er2 Er 0.000 0.543 0.750 1
Er3 Er 0.500 0.043 0.750 1
Er4 Er 0.500 0.957 0.250 1
Hg1 Hg 0.000 0.299 0.250 1
Hg2 Hg 0.000 0.701 0.750 1
Hg3 Hg 0.500 0.201 0.750 1
Hg4 Hg 0.500 0.799 0.250 1
```

Record 3
Computed, not measured: a relaxed structure of Y2Si9Ir3 at the PBE level of DFT.

Formation energy (no corrections)   -0.42 eV/atom

The structure in CIF format:
```
data_Y2Si9Ir3
_cell_length_a 7.451
_cell_length_b 7.451
_cell_length_c 10.052
_cell_angle_alpha 111.67
_cell_angle_beta 111.67
_cell_angle_gamma 62.00
_symmetry_space_group_name_H-M 'P 1'
_symmetry_Int_Tables_number 1
loop_
_symmetry_equiv_pos_as_xyz
'x,y,z'
loop_
_atom_site_label
_atom_site_type_symbol
_atom_site_fract_x
_atom_site_fract_y
_atom_site_fract_z
_atom_site_occupancy
Y1 Y 0.078 0.227 0.257 1
Y2 Y 0.227 0.078 0.757 1
Y3 Y 0.773 0.922 0.243 1
Y4 Y 0.922 0.773 0.743 1
Si1 Si 0.025 0.857 0.054 1
Si2 Si 0.143 0.975 0.446 1
Si3 Si 0.196 0.353 0.588 1
Si4 Si 0.221 0.588 0.249 1
Si5 Si 0.299 0.474 0.913 1
Si6 Si 0.353 0.196 0.088 1
Si7 Si 0.396 0.604 0.750 1
Si8 Si 0.412 0.779 0.251 1
Si9 Si 0.474 0.299 0.413 1
Si10 Si 0.526 0.701 0.587 1
Si11 Si 0.588 0.221 0.749 1
Si12 Si 0.604 0.396 0.250 1
Si13 Si 0.647 0.804 0.912 1
Si14 Si 0.701 0.526 0.087 1
Si15 Si 0.779 0.412 0.751 1
Si16 Si 0.804 0.647 0.412 1
Si17 Si 0.857 0.025 0.554 1
Si18 Si 0.975 0.143 0.946 1
Ir1 Ir 0.000 0.500 0.000 1
Ir2 Ir 0.196 0.627 0.497 1
Ir3 Ir 0.373 0.804 0.003 1
Ir4 Ir 0.500 0.000 0.500 1
Ir5 Ir 0.627 0.196 0.997 1
Ir6 Ir 0.804 0.373 0.503 1
```